A relaxed structure of Ac2La8Nd3. Source: Alexandria, functional PBE-GGA.

Unit cell a=7.395 b=9.974 c=9.974 alpha=57.24 beta=60.05 gamma=60.05
Element x y z (fractional)
Ac  0.470  0.222  0.222
Ac  0.530  0.778  0.778
La  0.062  0.578  0.578
La  0.938  0.422  0.422
La  0.003  0.190  0.190
La  0.997  0.810  0.810
La  0.583  0.559  0.195
La  0.583  0.195  0.559
La  0.417  0.805  0.441
La  0.417  0.441  0.805
Nd  0.500  0.000  0.000
Nd  0.000  0.173  0.827
Nd  0.000  0.827  0.173

Values from the calculation:
Total magnetic moment in μB/cell: 0.00
Formation energy from the elements in eV/atom: 0.187
Excess energy over the best structure of this formula in the dataset in meV per atom: 0